Entry 1:
# PBE YZrPb2, relaxed
data_YZrPb2
_chemical_formula_sum 'Y3 Zr3 Pb6'
_space_group_name_H-M_alt 'R -3 m'
_space_group_IT_number 166
_space_group_name_Hall '-R 3 2"'
_cell_length_a 3.4796
_cell_length_b 3.4796
_cell_length_c 30.6354
_cell_angle_alpha 90.00
_cell_angle_beta 90.00
_cell_angle_gamma 120.00
loop_
_atom_site_label
_atom_site_type_symbol
_atom_site_fract_x
_atom_site_fract_y
_atom_site_fract_z
Y1 Y 0.0000 0.0000 0.0000
Zr1 Zr 0.0000 0.0000 0.5000
Pb1 Pb 0.0000 0.0000 0.2464
# DFT formation energy (meV per atom): -164

=====

Entry 2:
# PBE NaIn2Ir, relaxed
data_NaIn2Ir
_chemical_formula_sum 'Na4 In8 Ir4'
_space_group_name_H-M_alt 'I -4 2 d'
_space_group_IT_number 122
_space_group_name_Hall 'I -4 2bw'
_cell_length_a 5.838
_cell_length_b 5.838
_cell_length_c 16.445
_cell_angle_alpha 90.00
_cell_angle_beta 90.00
_cell_angle_gamma 90.00
loop_
_atom_site_label
_atom_site_type_symbol
_atom_site_fract_x
_atom_site_fract_y
_atom_site_fract_z
Na1 Na 0.000 0.000 0.000
In1 In 0.081 0.250 0.625
Ir1 Ir 0.000 0.000 0.500
# DFT formation energy (meV per atom): 309

=====

Entry 3:
# PBE Ac4POsI2, relaxed
data_Ac4POsI2
_chemical_formula_sum 'Ac4 P1 Os1 I2'
_space_group_name_H-M_alt 'P 1 2/m 1'
_space_group_IT_number 10
_cell_length_a 7.932
_cell_length_b 4.370
_cell_length_c 8.727
_cell_angle_alpha 90.00
_cell_angle_beta 105.47
_cell_angle_gamma 90.00
loop_
_space_group_symop_operation_xyz
'x,y,z'
'-x,-y,-z'
'-x,y,-z'
'x,-y,z'
loop_
_atom_site_label
_atom_site_type_symbol
_atom_site_fract_x
_atom_site_fract_y
_atom_site_fract_z
Ac1 Ac 0.214 0.000 0.186
Ac2 Ac 0.255 0.500 0.812
P1 P 0.500 0.000 0.000
Os1 Os 0.000 0.500 0.000
I1 I 0.000 0.000 0.500
I2 I 0.500 0.500 0.500
# ΔE_f (raw) (eV per atom): -0.9476

=====

Entry 4:
# PBE TiSn2Cl8, relaxed
data_TiSn2Cl8
_chemical_formula_sum 'Ti2 Sn4 Cl16'
_space_group_name_H-M_alt 'C 1 2/m 1'
_space_group_IT_number 12
_cell_length_a 13.625
_cell_length_b 6.731
_cell_length_c 7.431
_cell_angle_alpha 90.00
_cell_angle_beta 95.22
_cell_angle_gamma 90.00
loop_
_space_group_symop_operation_xyz
'x,y,z'
'-x,-y,-z'
'-x,y,-z'
'x,-y,z'
'x+1/2,y+1/2,z'
'-x+1/2,-y+1/2,-z'
'-x+1/2,y+1/2,-z'
'x+1/2,-y+1/2,z'
loop_
_atom_site_label
_atom_site_type_symbol
_atom_site_fract_x
_atom_site_fract_y
_atom_site_fract_z
Ti1 Ti 0.000 0.000 0.000
Sn1 Sn 0.133 0.000 0.489
Cl1 Cl 0.051 0.246 0.221
Cl2 Cl 0.158 0.000 0.904
Cl3 Cl 0.196 0.500 0.598
# ΔE_f (raw) (eV per atom): -1.2036

=====

| no. | volume (Å³ per cell) |
| --- | --- |
| 1 | 321 |
| 2 | 560 |
| 3 | 292 |
| 4 | 679 |